An optimized crystal structure of La2Ho5Tm4. Source: Alexandria, functional PBE.

Values from the calculation:
The value obtained for the excess energy over the best structure of this formula in the dataset is 18 meV/atom. The total magnetization is 0.000 Bohr magnetons per cell. For the formation energy from the elements, the calculation gives 0.174 eV/atom. The value obtained for the raw total energy is -4.428 eV per atom.

Lattice parameters (Å, degrees): 24.5895 3.4863 8.9384 90.00 109.48 90.00
Space group C2/m (No. 12)
Asymmetric unit:
La 0.2358 0.0000 0.2900 [4 per cell]
Ho 0.0000 0.0000 0.5000 [2 per cell]
Ho 0.1239 0.5000 0.4710 [4 per cell]
Ho 0.1609 0.5000 0.8952 [4 per cell]
Tm 0.0109 0.5000 0.8229 [4 per cell]
Tm 0.0968 0.0000 0.1252 [4 per cell]